GGA-PBE MnBeSb2, optimized geometry; E_form (uncorrected) = 0.44 eV/atom; magnetization = 0.854 μB/atom; energy = -4.848 eV/atom; SG = P2/m
1.0
3.6230 0.0000 0.0000
0.0000 3.0762 0.0160
0.0000 1.6110 7.0507
Sb Be Mn
2 1 1
direct
0.0000 0.1733 0.0004
0.0000 0.3267 0.4996
0.5000 0.2500 0.2500
0.5000 0.7500 0.7500